Zr2BiC | SCAN | PBEsol geometry

a = 5.933 Å, b = 5.933 Å, c = 5.933 Å
α = 71.50°, β = 70.04°, γ = 109.96°
Atoms (fractional coordinates):
C (0.500, 0.750, 0.750)
C (0.000, 0.500, 0.500)
Bi (0.000, 0.000, 0.000)
Bi (0.500, 0.250, 0.250)
Zr (0.602, 0.125, 0.773)
Zr (0.102, 0.477, 0.125)
Zr (0.898, 0.773, 0.625)
Zr (0.398, 0.625, 0.477)

For the volume, the calculation gives 160.7 Å³ per cell. Its mass density is 8.337 g/cm³. Its crystal system is tetragonal. The density of states at the Fermi level is 3.6 states/eV/cell. The calculation puts the raw total energy at -37.84 eV/atom.